VASP calculation (PBE-GGA) on a relaxed Sc13Cd3 crystal.

Cell lengths 6.2632, 6.2632, 9.8602 Å; angles 90.00, 90.00, 100.87 degrees
Atoms (fractional coordinates):
Sc1 0.7790 0.7976 0.5000
Cd1 0.6976 0.3024 0.0000
Sc2 0.5468 0.0237 0.2457
Sc3 0.2024 0.2210 0.5000
Sc4 0.7709 0.8010 0.0000
Cd2 0.0443 0.9557 0.2508
Sc5 0.2709 0.7291 0.5000
Sc6 0.1990 0.2291 0.0000
Sc7 0.7045 0.2955 0.5000
Sc8 0.4866 0.5134 0.2508
Sc9 0.5468 0.0237 0.7543
Sc10 0.9763 0.4532 0.7543
Cd3 0.0443 0.9557 0.7492
Sc11 0.4866 0.5134 0.7492
Sc12 0.9763 0.4532 0.2457
Sc13 0.2674 0.7326 0.0000

Properties
**Fermi-level density of states**: 1.60 states/eV per atom
**Energy relative to the elements**: -53 meV per atom
**Total DFT energy (no corrections)**: -5.3694 eV per atom